# Li2AsW

A geometry-optimized Li2AsW structure (PBE, Alexandria via LeMat-Bulk).

DFT formation energy (eV per atom): 0.1762
Space-group type: No. 35

abc: 2.8707 2.8707 8.8177
angles: 90.00 90.00 107.82
With the nearest neighbours (Å) after each atom.
Sites, in units of the cell vectors:
1 Li 0.5000 0.5000 0.2669  2 W 2.82, 6 Li 2.87-3.08
2 W 0.0000 0.0000 0.5223  2 As 2.53, 2 Li 2.82
3 Li 0.0000 0.0000 0.9746  2 As 2.70, 4 Li 2.87
4 As 0.5000 0.5000 0.7363  2 W 2.53, 2 Li 2.70



# NaPmBiAu

A geometry-optimized NaPmBiAu structure (PBE, Alexandria via LeMat-Bulk).

DFT formation energy (eV per atom): -0.6014
Space-group type: No. 216

abc: 5.3285 5.3285 5.3285
angles: 60.00 60.00 60.00
With the nearest neighbours (Å) after each atom.
Sites, in units of the cell vectors:
1 Na 0.2500 0.2500 0.2500  4 Bi 3.26, 4 Au 3.26
2 Pm 0.7500 0.7500 0.7500  4 Bi 3.26, 4 Au 3.26
3 Bi 0.5000 0.5000 0.5000  4 Na 3.26, 4 Pm 3.26
4 Au 0.0000 0.0000 0.0000  4 Na 3.26, 4 Pm 3.26



# Ga2FeRu

A geometry-optimized Ga2FeRu structure (PBE, Alexandria via LeMat-Bulk).

DFT formation energy (eV per atom): 0.3912
Space-group type: No. 122

abc: 6.6197 6.6197 5.3695
angles: 51.94 51.94 90.00
With the nearest neighbours (Å) after each atom.
Sites, in units of the cell vectors:
1 Ru 0.0000 0.0000 0.0000  4 Ga 2.49, 2 Fe 2.63
2 Ga 0.3750 0.3890 0.7500  2 Fe 2.37, 2 Ru 2.49, 2 Ga 2.64
3 Ga 0.8750 0.8610 0.7500  2 Fe 2.37, 2 Ru 2.49, 2 Ga 2.64
4 Ga 0.1390 0.6250 0.2500  2 Fe 2.37, 2 Ru 2.49, 2 Ga 2.64
5 Ru 0.7500 0.2500 0.5000  4 Ga 2.49, 2 Fe 2.63
6 Fe 0.5000 0.5000 0.0000  4 Ga 2.37, 2 Ru 2.63
7 Ga 0.6110 0.1250 0.2500  2 Fe 2.37, 2 Ru 2.49, 2 Ga 2.64
8 Fe 0.2500 0.7500 0.5000  4 Ga 2.37, 2 Ru 2.63



# K2TaRh

A geometry-optimized K2TaRh structure (PBE, Alexandria via LeMat-Bulk).

DFT formation energy (eV per atom): 0.4865
Space-group type: No. 8

abc: 3.8767 3.8767 11.4378
angles: 84.67 84.67 52.39
With the nearest neighbours (Å) after each atom.
Sites, in units of the cell vectors:
1 Ta 0.7761 0.7761 0.6633  3 Rh 2.44-2.49
2 K 0.2338 0.2338 0.3281  3 Rh 3.32-3.44, 2 K 3.42
3 K 0.0020 0.0020 0.9504  2 K 3.42, 1 Ta 3.78
4 Rh 0.4881 0.4881 0.5581  3 Ta 2.44-2.49



# Sm8ZnIn5

A geometry-optimized Sm8ZnIn5 structure (PBE, Alexandria via LeMat-Bulk).

DFT formation energy (eV per atom): -0.2934
Space-group type: No. 82

abc: 8.1664 8.1664 8.1664
angles: 109.63 109.16 109.63
With the nearest neighbours (Å) after each atom.
Sites, in units of the cell vectors:
1 In 0.7505 0.6286 0.6227  8 Sm 3.18-3.39
2 Sm 0.1265 0.7419 0.0162  1 Zn 3.09, 5 In 3.18-3.40
3 In 0.8780 0.8721 0.2495  8 Sm 3.18-3.39
4 Sm 0.1285 0.7495 0.5300  5 In 3.18-3.36, 1 Zn 3.32, 1 Sm 3.53
5 Sm 0.4700 0.5985 0.2195  5 In 3.18-3.36, 1 Zn 3.32, 1 Sm 3.53
6 Sm 0.9838 0.1103 0.7257  1 Zn 3.09, 5 In 3.18-3.40
7 Sm 0.6154 0.8897 0.8735  1 Zn 3.09, 5 In 3.18-3.40
8 Sm 0.7805 0.2505 0.3790  5 In 3.18-3.36, 1 Zn 3.32, 1 Sm 3.53
9 In 0.9941 0.3714 0.1220  8 Sm 3.18-3.39
10 Zn 0.2500 0.5000 0.7500  8 Sm 3.09-3.32
11 In 0.3773 0.1279 0.0059  8 Sm 3.18-3.39
12 Sm 0.2743 0.2581 0.3846  1 Zn 3.09, 5 In 3.18-3.40
13 Sm 0.6210 0.4015 0.8715  5 In 3.18-3.36, 1 Zn 3.32, 1 Sm 3.53
14 In 0.5000 0.0000 0.5000  8 Sm 3.18-3.40



# Al2Rh

A geometry-optimized Al2Rh structure (PBE, Alexandria via LeMat-Bulk).

DFT formation energy (eV per atom): -0.2499
Space-group type: No. 194

abc: 5.0802 5.0802 7.8634
angles: 90.00 90.00 120.00
With the nearest neighbours (Å) after each atom.
Sites, in units of the cell vectors:
1 Al 0.0000 0.0000 0.5000  6 Al 2.48
2 Rh 0.6667 0.3333 0.5417  6 Al 2.70-2.95, 3 Rh 3.01
3 Al 0.1724 0.3448 0.7500  6 Al 2.45-2.63, 2 Rh 2.70
4 Al 0.6552 0.8276 0.7500  6 Al 2.45-2.63, 2 Rh 2.70
5 Al 0.3448 0.1724 0.2500  6 Al 2.45-2.63, 2 Rh 2.70
6 Al 0.8276 0.6552 0.2500  6 Al 2.45-2.63, 2 Rh 2.70
7 Al 0.0000 0.0000 0.0000  6 Al 2.48
8 Rh 0.3333 0.6667 0.4583  6 Al 2.70-2.95, 3 Rh 3.01
9 Rh 0.3333 0.6667 0.0417  6 Al 2.70-2.95, 3 Rh 3.01
10 Al 0.1724 0.8276 0.7500  6 Al 2.45-2.63, 2 Rh 2.70
11 Rh 0.6667 0.3333 0.9583  6 Al 2.70-2.95, 3 Rh 3.01
12 Al 0.8276 0.1724 0.2500  6 Al 2.45-2.63, 2 Rh 2.70



# Sr2Zn3In5

A geometry-optimized Sr2Zn3In5 structure (PBE, Alexandria via LeMat-Bulk).

DFT formation energy (eV per atom): -0.2671
Space-group type: No. 115

abc: 4.6782 4.6782 11.8510
angles: 90.00 90.00 90.00
With the nearest neighbours (Å) after each atom.
Sites, in units of the cell vectors:
1 Zn 0.0000 0.0000 0.5000  4 Zn 2.72
2 Sr 0.5000 0.0000 0.2699  10 In 3.56-3.96, 6 Zn 3.57-3.59
3 In 0.5000 0.0000 0.8409  1 Zn 2.65
4 In 0.0000 0.5000 0.1591  1 Zn 2.65
5 Zn 0.5000 0.0000 0.6176  3 In 2.65-2.72, 2 Zn 2.72
6 Zn 0.0000 0.5000 0.3824  3 In 2.65-2.72, 2 Zn 2.72
7 In 0.5000 0.5000 0.5000  4 Zn 2.72
8 Sr 0.0000 0.5000 0.7301  10 In 3.56-3.96, 6 Zn 3.57-3.59
9 In 0.5000 0.5000 0.0000  8 In 3.00-3.31
10 In 0.0000 0.0000 0.0000  8 In 3.00-3.31



# AlInBr3

A geometry-optimized AlInBr3 structure (PBE, Alexandria via LeMat-Bulk).

Space-group type: No. 2
Energy relative to the elements, uncorrected (eV per atom): -0.839

abc: 8.3352 10.8139 7.0067
angles: 71.47 91.52 136.50
With the nearest neighbours (Å) after each atom.
Sites, in units of the cell vectors:
1 In 0.6465 0.0966 0.3335  6 Br 3.27-3.49
2 Al 0.3005 0.3952 0.7118  3 Br 2.37-2.41, 1 Al 2.56
3 Br 0.9399 0.0984 0.9997  1 Al 2.37
4 Br 0.5473 0.1765 0.7050  1 Al 2.41
5 Br 0.1912 0.3756 0.3919  1 Al 2.41
6 Al 0.6556 0.4507 0.7097  3 Br 2.37-2.41, 1 Al 2.56
7 Br 0.4085 0.6694 0.7166  1 Al 2.41
8 Br 0.7648 0.4703 0.0296  1 Al 2.41
9 In 0.3096 0.7494 0.0882  6 Br 3.27-3.49
10 Br 0.0162 0.7475 0.4217  1 Al 2.37



The records above give, respectively, density of states at the Fermi level values of 1.814, 0.548, 7.829, 3.802, 18.426, 0.880, 3.078, 0.000 states/eV/f.u..